A relaxed Ti2Ni7Sn2Au crystal. Source: Alexandria via LeMat-Bulk, functional PBE.

Geometry as extended XYZ:
```
12
Lattice="2.466 -2.466 0.000 2.466 2.466 0.000 -2.418 0.000 14.768" Properties=species:S:1:pos:R:3 pbc="T T T"
Ti -0.002 0.000 3.736
Ti 2.516 0.000 11.032
Ni 0.000 0.000 0.000
Ni 1.229 1.233 2.014
Ni 0.001 0.000 6.629
Ni 1.286 1.233 12.753
Ni 1.229 -1.233 2.014
Ni 2.513 0.000 8.138
Ni 1.286 -1.233 12.753
Sn 0.049 0.000 9.219
Sn 2.465 0.000 5.549
Au 2.466 0.000 0.000
```

Energy of formation, meV/atom: -10

=====

A relaxed TiNiSnAu crystal. Source: Alexandria via LeMat-Bulk, functional PBE.

Geometry as extended XYZ:
```
4
Lattice="0.000 3.225 3.225 3.225 0.000 3.225 3.225 3.225 0.000" Properties=species:S:1:pos:R:3 pbc="T T T"
Ti 0.000 0.000 0.000
Ni 1.613 1.613 1.613
Sn 3.225 3.225 3.225
Au 4.838 4.838 4.838
```

Energy of formation, meV/atom: -211

=====

A relaxed TlNiSnAu2 crystal. Source: Alexandria via LeMat-Bulk, functional PBE.

Geometry as extended XYZ:
```
5
Lattice="5.237 0.000 0.000 0.000 5.237 0.000 0.000 0.000 4.864" Properties=species:S:1:pos:R:3 pbc="T T T"
Tl 0.000 0.000 0.000
Ni 0.000 0.000 2.432
Sn 2.619 2.619 2.432
Au 0.000 2.619 0.000
Au 2.619 0.000 0.000
```

Relative energy among the computed polymorphs, meV per atom: 615.4
Energy of formation, meV/atom: 778

=====

A relaxed TlNiSnAu2 crystal. Source: Alexandria via LeMat-Bulk, functional PBE.

Geometry as extended XYZ:
```
5
Lattice="5.043 0.000 0.000 0.000 5.043 0.000 0.000 0.000 4.725" Properties=species:S:1:pos:R:3 pbc="T T T"
Tl 0.000 0.000 0.000
Ni 2.521 2.521 2.363
Sn 2.521 2.521 0.000
Au 0.000 2.521 2.363
Au 2.521 0.000 2.363
```

Relative energy among the computed polymorphs, meV per atom: 0.0
Energy of formation, meV/atom: 163

=====

A relaxed TmNiSnAu crystal. Source: Alexandria via LeMat-Bulk, functional PBE.

Geometry as extended XYZ:
```
4
Lattice="0.000 3.366 3.366 3.366 0.000 3.366 3.366 3.366 0.000" Properties=species:S:1:pos:R:3 pbc="T T T"
Tm 0.000 0.000 0.000
Ni 1.683 1.683 1.683
Sn 3.366 3.366 3.366
Au 5.049 5.049 5.049
```

Energy of formation, meV/atom: -507

=====

A relaxed UNiSnAu crystal. Source: Alexandria via LeMat-Bulk, functional PBE.

Geometry as extended XYZ:
```
4
Lattice="0.000 3.408 3.408 3.408 0.000 3.408 3.408 3.408 0.000" Properties=species:S:1:pos:R:3 pbc="T T T"
U 0.000 0.000 0.000
Ni 5.112 5.112 5.112
Sn 3.408 3.408 3.408
Au 1.704 1.704 1.704
```

Energy of formation, meV/atom: -121

=====

A relaxed SrNiAu2 crystal. Source: Alexandria via LeMat-Bulk, functional PBE.

Geometry as extended XYZ:
```
8
Lattice="-2.527 2.527 8.477 2.527 -2.527 8.477 2.527 2.527 -8.477" Properties=species:S:1:pos:R:3 pbc="T T T"
Sr 0.000 0.000 0.000
Sr 0.000 2.527 4.239
Ni 2.527 0.000 4.239
Ni 0.000 0.000 8.477
Au 1.263 -0.403 6.358
Au 2.124 1.263 2.119
Au 1.263 2.930 -2.119
Au 0.403 1.263 10.597
```

Energy of formation, meV/atom: -159

=====

A relaxed SrNi3Au crystal. Source: Alexandria via LeMat-Bulk, functional PBE.

Geometry as extended XYZ:
```
5
Lattice="4.662 0.000 0.000 0.000 4.662 0.000 0.000 0.000 4.662" Properties=species:S:1:pos:R:3 pbc="T T T"
Sr 0.000 0.000 0.000
Ni 0.000 0.000 2.331
Ni 0.000 2.331 0.000
Ni 2.331 0.000 0.000
Au 2.331 2.331 2.331
```

Relative energy among the computed polymorphs, meV per atom: 1123.9
Energy of formation, meV/atom: 1680